This record from Alexandria describes Be2P after structural relaxation. The functional is PBE-GGA.

```
data_Be2P
_chemical_formula_sum 'Be8 P4'
_cell_length_a 12.182
_cell_length_b 3.581
_cell_length_c 3.634
_cell_angle_alpha 90.00
_cell_angle_beta 92.81
_cell_angle_gamma 90.00
_space_group_name_H-M_alt 'C 1 m 1'
_space_group_IT_number 8
_space_group_name_Hall 'C -2y'
loop_
_atom_site_label
_atom_site_fract_x
_atom_site_fract_y
_atom_site_fract_z
Be1 0.000 0.000 0.000
Be2 0.034 0.500 0.648
Be3 0.225 0.500 0.565
Be4 0.395 0.000 0.993
P1 0.109 0.000 0.494
P2 0.316 0.500 0.078
```

## Properties
* energy relative to the lowest polymorph listed for this composition: 26 kJ/mol of formula units
* VASP energy: -52.013 eV for the cell shown
* ΔH_f (0 K): -0.047 eV/atom
* DOS at the Fermi energy: 2.17 states/eV/cell
* crystal system: monoclinic

=====

This record from Alexandria describes BeRe2P after structural relaxation. The functional is PBE-GGA.

```
data_BeRe2P
_chemical_formula_sum 'Be2 Re4 P2'
_cell_length_a 2.979
_cell_length_b 4.603
_cell_length_c 7.735
_cell_angle_alpha 90.00
_cell_angle_beta 90.00
_cell_angle_gamma 90.00
_space_group_name_H-M_alt 'I m m m'
_space_group_IT_number 71
_space_group_name_Hall '-I 2 2'
loop_
_atom_site_label
_atom_site_fract_x
_atom_site_fract_y
_atom_site_fract_z
Be1 0.000 0.000 0.000
Re1 0.000 0.500 0.233
P1 0.000 0.000 0.500
```

## Properties
* energy relative to the lowest polymorph listed for this composition: 191 kJ/mol of formula units
* VASP energy: -66.303 eV for the cell shown
* ΔH_f (0 K): 0.220 eV/atom
* DOS at the Fermi energy: 4.82 states/eV/cell
* crystal system: orthorhombic

=====

This record from Alexandria describes LiPtCl2 after structural relaxation. The functional is PBE-GGA.

```
data_LiPtCl2
_chemical_formula_sum 'Li3 Pt3 Cl6'
_cell_length_a 3.9794
_cell_length_b 3.9794
_cell_length_c 21.4772
_cell_angle_alpha 90.00
_cell_angle_beta 90.00
_cell_angle_gamma 120.00
_space_group_name_H-M_alt 'R 3 m'
_space_group_IT_number 160
_space_group_name_Hall 'R 3 -2"'
loop_
_atom_site_label
_atom_site_fract_x
_atom_site_fract_y
_atom_site_fract_z
Li1 0.0000 0.0000 0.0000
Pt1 0.0000 0.0000 0.1502
Cl1 0.0000 0.0000 0.4666
Cl2 0.0000 0.0000 0.6536
```

## Properties
* energy relative to the lowest polymorph listed for this composition: 64 kJ/mol of formula units
* VASP energy: -41.613 eV for the cell shown
* DOS at the Fermi energy: 3.77 states/eV/cell
* crystal system: trigonal

=====

This record from Alexandria describes La3Mg after structural relaxation. The functional is PBE-GGA.

```
data_La3Mg
_chemical_formula_sum 'La6 Mg2'
_cell_length_a 3.769
_cell_length_b 11.695
_cell_length_c 6.157
_cell_angle_alpha 90.00
_cell_angle_beta 90.00
_cell_angle_gamma 90.00
_space_group_name_H-M_alt 'I m m 2'
_space_group_IT_number 44
_space_group_name_Hall 'I 2 -2'
loop_
_atom_site_label
_atom_site_fract_x
_atom_site_fract_y
_atom_site_fract_z
La1 0.000 0.000 0.000
La2 0.000 0.232 0.626
Mg1 0.000 0.500 0.983
```

## Properties
* VASP energy: -32.983 eV for the cell shown
* ΔH_f (0 K): -0.029 eV/atom
* DOS at the Fermi energy: 11.31 states/eV/cell
* crystal system: orthorhombic

=====

This record from Alexandria describes Li6Cd5Hg after structural relaxation. The functional is PBE-GGA.

```
data_Li6Cd5Hg
_chemical_formula_sum 'Li12 Cd10 Hg2'
_cell_length_a 4.698
_cell_length_b 14.157
_cell_length_c 6.589
_cell_angle_alpha 90.00
_cell_angle_beta 90.86
_cell_angle_gamma 90.00
_space_group_name_H-M_alt 'C 1 2/m 1'
_space_group_IT_number 12
_space_group_name_Hall '-C 2y'
loop_
_atom_site_label
_atom_site_fract_x
_atom_site_fract_y
_atom_site_fract_z
Li1 0.000 0.000 0.244
Li2 0.000 0.336 0.249
Cd1 0.000 0.167 0.500
Cd2 0.000 0.170 0.000
Cd3 0.000 0.500 0.500
Hg1 0.000 0.500 0.000
```

## Properties
* VASP energy: -39.266 eV for the cell shown
* ΔH_f (0 K): -0.273 eV/atom
* DOS at the Fermi energy: 7.51 states/eV/cell
* crystal system: monoclinic

=====

This record from Alexandria describes TbCeEuDy after structural relaxation. The functional is PBE-GGA.

```
data_TbCeEuDy
_chemical_formula_sum 'Tb4 Ce4 Eu4 Dy4'
_cell_length_a 8.142
_cell_length_b 8.142
_cell_length_c 8.142
_cell_angle_alpha 90.00
_cell_angle_beta 90.00
_cell_angle_gamma 90.00
_space_group_name_H-M_alt 'F -4 3 m'
_space_group_IT_number 216
_space_group_name_Hall 'F -4 2 3'
loop_
_atom_site_label
_atom_site_fract_x
_atom_site_fract_y
_atom_site_fract_z
Tb1 0.000 0.000 0.000
Ce1 0.250 0.250 0.750
Eu1 0.250 0.250 0.250
Dy1 0.000 0.000 0.500
```

## Properties
* VASP energy: -98.102 eV for the cell shown
* ΔH_f (0 K): 0.229 eV/atom
* DOS at the Fermi energy: 40.85 states/eV/cell
* crystal system: cubic

=====

This record from Alexandria describes K4BiPd5 after structural relaxation. The functional is PBE-GGA.

```
data_K4BiPd5
_chemical_formula_sum 'K8 Bi2 Pd10'
_cell_length_a 14.142
_cell_length_b 6.434
_cell_length_c 9.973
_cell_angle_alpha 90.00
_cell_angle_beta 134.77
_cell_angle_gamma 90.00
_space_group_name_H-M_alt 'C 1 2 1'
_space_group_IT_number 5
_space_group_name_Hall 'C 2y'
loop_
_atom_site_label
_atom_site_fract_x
_atom_site_fract_y
_atom_site_fract_z
K1 0.099 0.000 0.292
K2 0.193 0.499 0.095
Bi1 0.000 0.759 0.500
Pd1 0.000 0.170 0.500
Pd2 0.067 0.477 0.379
Pd3 0.187 0.477 0.753
```

## Properties
* VASP energy: -67.326 eV for the cell shown
* ΔH_f (0 K): 0.057 eV/atom
* DOS at the Fermi energy: 7.59 states/eV/cell
* crystal system: monoclinic

=====

This record from Alexandria describes Ac2PmAs3Rh12 after structural relaxation. The functional is PBE-GGA.

```
data_Ac2PmAs3Rh12
_chemical_formula_sum 'Ac6 Pm3 As9 Rh36'
_cell_length_a 9.3092
_cell_length_b 9.3092
_cell_length_c 13.0945
_cell_angle_alpha 90.00
_cell_angle_beta 90.00
_cell_angle_gamma 120.00
_space_group_name_H-M_alt 'R -3 m'
_space_group_IT_number 166
_space_group_name_Hall '-R 3 2"'
loop_
_atom_site_label
_atom_site_fract_x
_atom_site_fract_y
_atom_site_fract_z
Ac1 0.0000 0.0000 0.1429
Pm1 0.0000 0.0000 0.5000
As1 0.0000 0.5000 0.0000
Rh1 0.0039 0.5019 0.8175
Rh2 0.0166 0.5083 0.3836
```

## Properties
* VASP energy: -357.470 eV for the cell shown
* ΔH_f (0 K): -0.224 eV/atom
* DOS at the Fermi energy: 60.16 states/eV/cell
* crystal system: trigonal

=====

This record from Alexandria describes La7Y12Er after structural relaxation. The functional is PBE-GGA.

```
data_La7Y12Er
_chemical_formula_sum 'La14 Y24 Er2'
_cell_length_a 11.376
_cell_length_b 11.376
_cell_length_c 11.376
_cell_angle_alpha 90.00
_cell_angle_beta 90.00
_cell_angle_gamma 90.00
_space_group_name_H-M_alt 'I m -3 m'
_space_group_IT_number 229
_space_group_name_Hall '-I 4 2 3'
loop_
_atom_site_label
_atom_site_fract_x
_atom_site_fract_y
_atom_site_fract_z
La1 0.000 0.000 0.500
La2 0.250 0.250 0.250
Y1 0.000 0.246 0.246
Er1 0.000 0.000 0.000
```

## Properties
* VASP energy: -208.828 eV for the cell shown
* ΔH_f (0 K): 0.610 eV/atom
* DOS at the Fermi energy: 59.08 states/eV/cell
* crystal system: cubic

=====

This record from Alexandria describes Pu6Ge5Mo after structural relaxation. The functional is PBE-GGA.

```
data_Pu6Ge5Mo
_chemical_formula_sum 'Pu12 Ge10 Mo2'
_cell_length_a 15.353
_cell_length_b 6.156
_cell_length_c 5.336
_cell_angle_alpha 90.00
_cell_angle_beta 94.35
_cell_angle_gamma 90.00
_space_group_name_H-M_alt 'C 1 2/m 1'
_space_group_IT_number 12
_space_group_name_Hall '-C 2y'
loop_
_atom_site_label
_atom_site_fract_x
_atom_site_fract_y
_atom_site_fract_z
Pu1 0.000 0.250 0.000
Pu2 0.167 0.248 0.703
Ge1 0.000 0.000 0.500
Ge2 0.155 0.500 0.219
Ge3 0.163 0.000 0.202
Mo1 0.000 0.500 0.500
```

## Properties
* VASP energy: -246.622 eV for the cell shown
* ΔH_f (0 K): -0.283 eV/atom
* DOS at the Fermi energy: 69.12 states/eV/cell
* crystal system: monoclinic

=====

This record from Alexandria describes ScC3N after structural relaxation. The functional is PBE-GGA.

```
data_ScC3N
_chemical_formula_sum 'Sc1 C3 N1'
_cell_length_a 3.575
_cell_length_b 3.575
_cell_length_c 3.575
_cell_angle_alpha 90.00
_cell_angle_beta 90.00
_cell_angle_gamma 90.00
_space_group_name_H-M_alt 'P m -3 m'
_space_group_IT_number 221
_space_group_name_Hall '-P 4 2 3'
loop_
_atom_site_label
_atom_site_fract_x
_atom_site_fract_y
_atom_site_fract_z
Sc1 0.000 0.000 0.000
C1 0.000 0.500 0.500
N1 0.500 0.500 0.500
```

## Properties
* energy relative to the lowest polymorph listed for this composition: 0 kJ/mol of formula units
* VASP energy: -30.285 eV for the cell shown
* DOS at the Fermi energy: 3.37 states/eV/cell
* crystal system: cubic